A plane-wave DFT calculation with PBE was carried out for a relaxed ThScCuNi crystal.

The value obtained for the formation energy is -1.29 eV/f.u. For the total energy, the calculation gives -6.229 eV per atom. The value obtained for the energy above the lowest structure with this stoichiometry is 0 meV per atom. The total magnetization comes out at 0.00 μB/cell. The calculated volume is 79.97 Å³/f.u.

Cell: 4.2274 3.5859 10.5512 Å, 90.00 90.00 90.00°
With the nearest neighbours (Å) after each atom.
Space group Amm2 (No. 38)
Unique sites:
Th1 0.0000 0.0000 0.0000 x2  4 Ni 2.85, 3 Cu 2.94
Sc1 0.5000 0.0000 0.2750 x2  4 Cu 2.83, 3 Ni 2.85-3.05
Cu1 0.0000 0.0000 0.7210 x2  2 Ni 2.68, 4 Sc 2.83, 3 Th 2.94
Ni1 0.5000 0.0000 0.5645 x2  2 Cu 2.68, 4 Th 2.85, 2 Sc 2.85